# 1
Density functional theory data (PBE) for crystalline BaInHg2Pb at its relaxed geometry.

Values from the calculation:
The calculation puts the offset from the most stable computed form at 0 meV/atom. As for the calculated density: 9.13 g/cm³. The total energy is -2.16 eV/atom.

a = 5.0521 Å, b = 5.0521 Å, c = 12.2648 Å
α = 90.00°, β = 90.00°, γ = 90.00°
With the nearest neighbours (Å) after each atom.
Sites, in units of the cell vectors:
Ba 0.0000 0.5000 0.2400  8 Hg 3.82-3.88, 4 In 3.86, 4 Pb 4.07
Ba 0.5000 0.0000 0.7600  8 Hg 3.82-3.88, 4 In 3.86, 4 Pb 4.07
Hg 0.0000 0.0000 0.0000  4 In 2.93
Hg 0.5000 0.5000 0.0000  4 In 2.93
Hg 0.5000 0.0000 0.3511  1 In 2.82, 4 Pb 3.12
Hg 0.0000 0.5000 0.6489  1 In 2.82, 4 Pb 3.12
In 0.5000 0.0000 0.1215  5 Hg 2.82-2.93
In 0.0000 0.5000 0.8785  5 Hg 2.82-2.93
Pb 0.0000 0.0000 0.5000  4 Hg 3.12
Pb 0.5000 0.5000 0.5000  4 Hg 3.12

# 2
Density functional theory data (PBE) for crystalline LiNi2PdN at its relaxed geometry.

Values from the calculation:
As for the calculated density: 7.41 g/cm³. The total energy is -5.49 eV/atom.

a = 3.6728 Å, b = 3.6728 Å, c = 4.0646 Å
α = 90.00°, β = 90.00°, γ = 90.00°
With the nearest neighbours (Å) after each atom.
Sites, in units of the cell vectors:
Li 0.0000 0.0000 0.5000  2 N 2.03
N 0.0000 0.0000 0.0000  4 Ni 1.84, 2 Li 2.03
Ni 0.5000 0.0000 0.0000  2 N 1.84
Ni 0.0000 0.5000 0.0000  2 N 1.84
Pd 0.5000 0.5000 0.5000  4 Li 2.60, 8 Ni 2.74

# 3
Density functional theory data (PBE) for crystalline TmTlFeTe3 at its relaxed geometry.

Values from the calculation:
The calculation puts the offset from the most stable computed form at 4 meV/atom. As for the calculated density: 6.90 g/cm³. The total energy is -4.72 eV/atom.

a = 8.9369 Å, b = 4.1901 Å, c = 11.1769 Å
α = 90.00°, β = 111.04°, γ = 90.00°
With the nearest neighbours (Å) after each atom.
Sites, in units of the cell vectors:
Fe 0.0633 0.2500 0.0799  4 Te 2.62-2.70, 2 Fe 2.72
Fe 0.9367 0.7500 0.9201  4 Te 2.62-2.70, 2 Fe 2.72
Te 0.2428 0.7500 0.0583  3 Fe 2.62-2.70
Te 0.0614 0.2500 0.3169  1 Fe 2.65
Te 0.5681 0.2500 0.3605  3 Tm 3.00-3.04
Te 0.4319 0.7500 0.6395  3 Tm 3.00-3.04
Te 0.9386 0.7500 0.6831  1 Fe 2.65
Te 0.7572 0.2500 0.9417  3 Fe 2.62-2.70
Tl 0.7340 0.7500 0.1995  6 Te 3.43-3.63
Tl 0.2660 0.2500 0.8005  6 Te 3.43-3.63
Tm 0.3185 0.7500 0.3519  6 Te 3.00-3.10
Tm 0.6815 0.2500 0.6481  6 Te 3.00-3.10

# 4
Density functional theory data (PBE) for crystalline GdZrAsO at its relaxed geometry.

Values from the calculation:
The calculation puts the offset from the most stable computed form at 537 meV/atom. As for the calculated density: 7.85 g/cm³. The total energy is -7.13 eV/atom.

a = 4.0451 Å, b = 4.0451 Å, c = 8.7721 Å
α = 90.00°, β = 90.00°, γ = 90.00°
With the nearest neighbours (Å) after each atom.
Sites, in units of the cell vectors:
As 0.0000 0.5000 0.2618  4 Gd 2.91, 4 O 3.06, 4 Zr 3.13
As 0.5000 0.0000 0.7382  4 Gd 2.91, 4 O 3.06, 4 Zr 3.13
Gd 0.0000 0.0000 0.5000  4 Gd 2.86, 4 As 2.91
Gd 0.5000 0.5000 0.5000  4 Gd 2.86, 4 As 2.91
O 0.0000 0.0000 0.0000  4 Zr 2.27
O 0.5000 0.5000 0.0000  4 Zr 2.27
Zr 0.5000 0.0000 0.1177  4 O 2.27
Zr 0.0000 0.5000 0.8823  4 O 2.27

# 5
Density functional theory data (PBE) for crystalline ScBeZnPb at its relaxed geometry.

Values from the calculation:
The calculation puts the offset from the most stable computed form at 0 meV/atom. As for the calculated density: 7.09 g/cm³. The total energy is -3.52 eV/atom.

a = 4.7646 Å, b = 4.7646 Å, c = 4.7646 Å
α = 60.00°, β = 60.00°, γ = 60.00°
With the nearest neighbours (Å) after each atom.
Sites, in units of the cell vectors:
Be 0.2500 0.2500 0.2500  4 Pb 2.92, 4 Sc 2.92
Pb 0.0000 0.0000 0.0000  4 Be 2.92, 4 Zn 2.92
Sc 0.5000 0.5000 0.5000  4 Zn 2.92, 4 Be 2.92
Zn 0.7500 0.7500 0.7500  4 Sc 2.92, 4 Pb 2.92

# 6
Density functional theory data (PBE) for crystalline Na2MgHg at its relaxed geometry.

Values from the calculation:
As for the calculated density: 4.72 g/cm³. The total energy is -1.22 eV/atom.

a = 5.1258 Å, b = 5.1258 Å, c = 5.1258 Å
α = 60.00°, β = 60.00°, γ = 60.00°
With the nearest neighbours (Å) after each atom.
Sites, in units of the cell vectors:
Hg 0.7500 0.7500 0.7500  4 Na 3.14, 4 Mg 3.14
Mg 0.5000 0.5000 0.5000  4 Hg 3.14, 4 Na 3.14
Na 0.0000 0.0000 0.0000  4 Hg 3.14, 4 Na 3.14
Na 0.2500 0.2500 0.2500  4 Mg 3.14, 4 Na 3.14

# 7
Density functional theory data (PBE) for crystalline RbHoCoTe3 at its relaxed geometry.

Values from the calculation:
The calculation puts the offset from the most stable computed form at 0 meV/atom. As for the calculated density: 5.65 g/cm³. The total energy is -4.51 eV/atom.

a = 8.6269 Å, b = 8.6269 Å, c = 11.3967 Å
α = 90.00°, β = 90.00°, γ = 28.66°
With the nearest neighbours (Å) after each atom.
Sites, in units of the cell vectors:
Co 0.4713 0.4713 0.2500  4 Te 2.59-2.64
Co 0.5287 0.5287 0.7500  4 Te 2.59-2.64
Ho 0.0000 0.0000 0.0000  6 Te 3.05
Ho 0.0000 0.0000 0.5000  6 Te 3.05
Rb 0.7463 0.7463 0.2500  6 Te 3.70-3.72
Rb 0.2537 0.2537 0.7500  6 Te 3.70-3.72
Te 0.3784 0.3784 0.0686  1 Co 2.59
Te 0.0643 0.0643 0.2500  2 Co 2.64
Te 0.3784 0.3784 0.4314  1 Co 2.59
Te 0.6216 0.6216 0.5686  1 Co 2.59
Te 0.9357 0.9357 0.7500  2 Co 2.64
Te 0.6216 0.6216 0.9314  1 Co 2.59

# 8
Density functional theory data (PBE) for crystalline AcFeAs at its relaxed geometry.

Values from the calculation:
The calculation puts the offset from the most stable computed form at 694 meV/atom. As for the calculated density: 6.85 g/cm³. The total energy is -5.23 eV/atom.

a = 4.9674 Å, b = 4.9674 Å, c = 4.9674 Å
α = 60.00°, β = 60.00°, γ = 60.00°
With the nearest neighbours (Å) after each atom.
Sites, in units of the cell vectors:
Ac 0.0000 0.0000 0.0000  4 As 3.04, 4 Fe 3.04
As 0.2500 0.2500 0.2500  4 Ac 3.04
Fe 0.7500 0.7500 0.7500  4 Ac 3.04

# 9
Density functional theory data (PBE) for crystalline NdHoAu2 at its relaxed geometry.

Values from the calculation:
As for the calculated density: 11.93 g/cm³. The total energy is -4.80 eV/atom.

a = 4.6926 Å, b = 5.8454 Å, c = 5.8454 Å
α = 37.60°, β = 90.00°, γ = 90.00°
With the nearest neighbours (Å) after each atom.
Sites, in units of the cell vectors:
Au 0.5000 0.0869 0.0869  2 Au 3.05, 3 Ho 3.05-3.12, 4 Nd 3.06
Au 0.0000 0.9112 0.9112  3 Nd 3.01-3.15, 2 Au 3.05, 4 Ho 3.06
Ho 0.5000 0.3623 0.3623  7 Au 3.05-3.12
Nd 0.0000 0.6395 0.6395  7 Au 3.01-3.15

# 10
Density functional theory data (PBE) for crystalline KAlCuTe3 at its relaxed geometry.

Values from the calculation:
The calculation puts the offset from the most stable computed form at 4 meV/atom. As for the calculated density: 4.76 g/cm³. The total energy is -3.46 eV/atom.

a = 9.1495 Å, b = 3.9637 Å, c = 10.7167 Å
α = 90.00°, β = 112.95°, γ = 90.00°
With the nearest neighbours (Å) after each atom.
Sites, in units of the cell vectors:
Al 0.8280 0.7500 0.3544  6 Te 2.77-2.89
Al 0.1720 0.2500 0.6456  6 Te 2.77-2.89
Cu 0.5628 0.2500 0.0838  4 Te 2.62-2.63, 2 Cu 2.62
Cu 0.4372 0.7500 0.9162  4 Te 2.62-2.63, 2 Cu 2.62
K 0.2597 0.7500 0.2175  6 Te 3.52-3.61
K 0.7403 0.2500 0.7825  6 Te 3.52-3.61
Te 0.7423 0.7500 0.0644  3 Cu 2.62-2.63, 1 Al 2.89
Te 0.6110 0.2500 0.3426  1 Cu 2.63, 2 Al 2.77
Te 0.0496 0.2500 0.3628  3 Al 2.79-2.81
Te 0.9504 0.7500 0.6372  3 Al 2.79-2.81
Te 0.3890 0.7500 0.6574  1 Cu 2.63, 2 Al 2.77
Te 0.2577 0.2500 0.9356  3 Cu 2.62-2.63, 1 Al 2.89

# 11
Density functional theory data (PBE) for crystalline CdSnSeO at its relaxed geometry.

Values from the calculation:
The calculation puts the offset from the most stable computed form at 0 meV/atom. As for the calculated density: 5.67 g/cm³. The total energy is -4.14 eV/atom.

a = 8.0279 Å, b = 7.7598 Å, c = 6.1296 Å
α = 90.00°, β = 90.00°, γ = 90.00°
With the nearest neighbours (Å) after each atom.
Sites, in units of the cell vectors:
Cd 0.9080 0.3530 0.0508  1 O 2.21
Cd 0.4080 0.6470 0.0508  1 O 2.21
Cd 0.5920 0.3530 0.5508  1 O 2.21
Cd 0.0920 0.6470 0.5508  1 O 2.21
O 0.9713 0.0871 0.1512  2 Sn 2.11-2.14, 1 Cd 2.21
O 0.4713 0.9129 0.1512  2 Sn 2.11-2.14, 1 Cd 2.21
O 0.5287 0.0871 0.6512  2 Sn 2.11-2.14, 1 Cd 2.21
O 0.0287 0.9129 0.6512  2 Sn 2.11-2.14, 1 Cd 2.21
Se 0.5766 0.3591 0.1126  3 Cd 2.64-2.69, 1 Sn 2.82
Se 0.0766 0.6409 0.1126  3 Cd 2.64-2.69, 1 Sn 2.82
Se 0.9234 0.3591 0.6126  3 Cd 2.64-2.69, 1 Sn 2.82
Se 0.4234 0.6409 0.6126  3 Cd 2.64-2.69, 1 Sn 2.82
Sn 0.1268 0.0981 0.4354  2 O 2.11-2.14
Sn 0.6268 0.9019 0.4354  2 O 2.11-2.14
Sn 0.3732 0.0981 0.9354  2 O 2.11-2.14
Sn 0.8732 0.9019 0.9354  2 O 2.11-2.14

# 12
Density functional theory data (PBE) for crystalline NaZrOs at its relaxed geometry.

Values from the calculation:
The calculation puts the offset from the most stable computed form at 0 meV/atom. As for the calculated density: 7.75 g/cm³. The total energy is -6.31 eV/atom.

a = 4.5193 Å, b = 4.5193 Å, c = 4.5193 Å
α = 60.00°, β = 60.00°, γ = 60.00°
With the nearest neighbours (Å) after each atom.
Sites, in units of the cell vectors:
Na 0.2500 0.2500 0.2500  4 Os 2.77
Os 0.0000 0.0000 0.0000  4 Zr 2.77, 4 Na 2.77
Zr 0.7500 0.7500 0.7500  4 Os 2.77

> Among the records above, which one has the lowest total energy?

GdZrAsO

> What is the formula in the eleventh record?

CdSnSeO

> Which of these has the highest calculated density?

NdHoAu2

Copy entry 3 word for word.
Density functional theory data (PBE) for crystalline TmTlFeTe3 at its relaxed geometry.

Values from the calculation:
The calculation puts the offset from the most stable computed form at 4 meV/atom. As for the calculated density: 6.90 g/cm³. The total energy is -4.72 eV/atom.

a = 8.9369 Å, b = 4.1901 Å, c = 11.1769 Å
α = 90.00°, β = 111.04°, γ = 90.00°
With the nearest neighbours (Å) after each atom.
Sites, in units of the cell vectors:
Fe 0.0633 0.2500 0.0799  4 Te 2.62-2.70, 2 Fe 2.72
Fe 0.9367 0.7500 0.9201  4 Te 2.62-2.70, 2 Fe 2.72
Te 0.2428 0.7500 0.0583  3 Fe 2.62-2.70
Te 0.0614 0.2500 0.3169  1 Fe 2.65
Te 0.5681 0.2500 0.3605  3 Tm 3.00-3.04
Te 0.4319 0.7500 0.6395  3 Tm 3.00-3.04
Te 0.9386 0.7500 0.6831  1 Fe 2.65
Te 0.7572 0.2500 0.9417  3 Fe 2.62-2.70
Tl 0.7340 0.7500 0.1995  6 Te 3.43-3.63
Tl 0.2660 0.2500 0.8005  6 Te 3.43-3.63
Tm 0.3185 0.7500 0.3519  6 Te 3.00-3.10
Tm 0.6815 0.2500 0.6481  6 Te 3.00-3.10